1.
The following is a DFT calculation (PBE-GGA) of a relaxed Pr2ThZn crystal.

Geometry as extended XYZ:
```
4
Lattice="-3.317 -1.396 3.378 3.074 -3.420 1.605 1.887 3.182 3.168" Properties=species:S:1:pos:R:3 pbc="T T T"
Pr 0.943 1.591 1.584
Pr 1.537 -1.710 0.802
Zn -1.659 -0.698 1.689
Th 0.822 -0.817 4.075
```

Properties
Polymorph energy (0 for the lowest one) ... 3.318 kcal/mol of atoms
SG ... P4/mmm
DFT formation energy ... 0.0147 eV per atom

=====

2.
The following is a DFT calculation (PBE-GGA) of a relaxed Al6NiRh5 crystal.

Geometry as extended XYZ:
```
12
Lattice="4.078 0.017 -1.190 -0.814 5.210 -2.713 -0.074 0.434 7.337" Properties=species:S:1:pos:R:3 pbc="T T T"
Ni 0.000 0.000 0.000
Rh 2.561 1.028 1.207
Rh 1.045 2.043 3.610
Rh -0.407 2.605 -1.356
Rh 2.146 3.618 -0.177
Rh 0.630 4.633 2.227
Al 2.878 3.369 2.327
Al 3.290 0.733 3.700
Al 1.424 3.948 -2.646
Al 1.841 1.279 -1.257
Al -0.099 4.928 -0.267
Al 0.313 2.292 1.106
```

Properties
SG ... Immm
DFT formation energy ... -1.0004 eV per atom

=====

3.
The following is a DFT calculation (PBE-GGA) of a relaxed CsErCd2Br8 crystal.

Geometry as extended XYZ:
```
12
Lattice="-3.165 -0.255 6.259 2.774 -5.030 4.067 6.829 6.430 4.879" Properties=species:S:1:pos:R:3 pbc="T T T"
Cs 3.415 3.215 2.439
Er 0.000 0.000 0.000
Cd 5.259 3.144 7.705
Cd 1.180 -2.001 7.500
Br 2.662 -2.504 5.257
Br 6.451 2.322 12.678
Br -0.380 -0.037 6.422
Br 3.776 3.648 9.948
Br -0.012 -1.178 2.527
Br 6.819 1.181 8.783
Br 2.747 -0.922 9.181
Br 3.692 2.065 6.024
```

Properties
SG ... P-1
Formation energy from raw total energies ... -1333 meV/atom

=====

4.
The following is a DFT calculation (PBE-GGA) of a relaxed LaTb2PrBi4 crystal.

Geometry as extended XYZ:
```
8
Lattice="4.592 0.000 0.000 0.000 7.928 -0.151 0.000 2.796 7.439" Properties=species:S:1:pos:R:3 pbc="T T T"
La 0.000 5.362 3.644
Tb 0.000 2.796 7.438
Tb 2.296 1.398 3.719
Pr 2.296 3.964 -0.075
Bi 0.000 8.117 5.446
Bi 4.592 2.607 1.842
Bi 2.296 6.720 1.711
Bi 2.296 4.004 5.577
```

Properties
SG ... P2/m
DFT formation energy ... -0.9413 eV per atom